## KV4Br8 (GGA-PBE)

Data for a geometry-optimized KV4Br8 structure.

Lattice parameters (Å, degrees): 7.817 7.817 9.100 90.00 115.44 120.00
Each line ends with the local moment (μB).
Fractional positions:
Br  0.043  0.772  0.815  -0.02
Br  0.957  0.228  0.185  -0.02
Br  0.454  0.727  0.181  -0.03
Br  0.456  0.228  0.185  -0.02
Br  0.544  0.772  0.815  -0.02
Br  0.546  0.273  0.819  -0.03
Br  0.957  0.728  0.185  -0.02
Br  0.043  0.272  0.815  -0.02
V  0.500  0.500  0.000  2.78
V  0.000  0.000  0.000  2.86
V  0.500  0.000  0.000  2.78
V  0.000  0.500  0.000  2.78
K  0.000  0.500  0.500  0.00

Formation energy without anion corrections (eV per atom): -0.781



## PmSm2DyHo (GGA-PBE)

Data for a geometry-optimized PmSm2DyHo structure.

Lattice parameters (Å, degrees): 7.229 8.435 7.167 126.05 90.00 90.00
Fractional positions:
Ho  0.250  0.991  0.982
Ho  0.750  0.009  0.018
Pm  0.250  0.725  0.449
Pm  0.750  0.275  0.551
Dy  0.750  0.732  0.464
Dy  0.250  0.268  0.536
Sm  0.000  0.692  0.000
Sm  0.500  0.308  0.000
Sm  0.500  0.692  0.000
Sm  0.000  0.308  0.000

Calculated formation energy (eV per atom): 0.39



Question: Which formula does entry 2 have?
Answer: PmSm2DyHo